Below is a relaxed ScTa4Si crystal, with properties calculated at the GGA-PBE level.

Cell lengths 5.4986, 5.4986, 5.4986 Å; angles 60.00, 60.00, 60.00 degrees
Closest atoms and distances in Å follow each position.
Sites, in units of the cell vectors:
Sc: 0.0000 0.0000 0.0000  12 Ta 3.22, 4 Si 3.37
Ta: 0.3735 0.3735 0.3735  6 Ta 2.72-2.78
Ta: 0.3735 0.3735 0.8794  6 Ta 2.72-2.78
Ta: 0.3735 0.8794 0.3735  6 Ta 2.72-2.78
Ta: 0.8794 0.3735 0.3735  6 Ta 2.72-2.78
Si: 0.7500 0.7500 0.7500  12 Ta 3.23, 4 Sc 3.37

Computed properties:
Magnetization ... 0.00 μB per formula unit
Energy relative to the elements, uncorrected ... 394.0 meV/atom



Below is a relaxed LiTlHg2F6 crystal, with properties calculated at the GGA-PBE level.

Cell lengths 8.0387, 8.0387, 5.3167 Å; angles 97.34, 97.34, 110.05 degrees
Closest atoms and distances in Å follow each position.
Sites, in units of the cell vectors:
Li: 0.0570 0.9430 0.7500  6 F 2.01-2.14
Li: 0.9430 0.0570 0.2500  6 F 2.01-2.14
Tl: 0.2020 0.7980 0.2500  4 F 2.55-2.71
Tl: 0.7980 0.2020 0.7500  4 F 2.55-2.71
Hg: 0.2426 0.4320 0.4654  3 F 2.16-2.35
Hg: 0.4320 0.2426 0.9654  3 F 2.16-2.35
Hg: 0.5680 0.7574 0.0346  3 F 2.16-2.35
Hg: 0.7574 0.5680 0.5346  3 F 2.16-2.35
F: 0.0281 0.6685 0.7544  1 Li 2.14, 1 Hg 2.16
F: 0.0844 0.1743 0.6234  2 Li 2.01-2.08
F: 0.1743 0.0844 0.1234  2 Li 2.01-2.08
F: 0.3302 0.5051 0.9575  1 Hg 2.21
F: 0.3315 0.9719 0.7456  1 Li 2.14, 1 Hg 2.16
F: 0.4949 0.6698 0.5425  1 Hg 2.21
F: 0.5051 0.3302 0.4575  1 Hg 2.21
F: 0.6685 0.0281 0.2544  1 Li 2.14, 1 Hg 2.16
F: 0.6698 0.4949 0.0425  1 Hg 2.21
F: 0.8257 0.9156 0.8766  2 Li 2.01-2.08
F: 0.9156 0.8257 0.3766  2 Li 2.01-2.08
F: 0.9719 0.3315 0.2456  1 Li 2.14, 1 Hg 2.16

Computed properties:
Magnetization ... 0.00 μB per formula unit
Energy relative to the elements, uncorrected ... -1742.2 meV/atom



Below is a relaxed InAgP crystal, with properties calculated at the GGA-PBE level.

Cell lengths 6.2076, 6.2076, 6.2076 Å; angles 149.79, 149.79, 43.25 degrees
Closest atoms and distances in Å follow each position.
Sites, in units of the cell vectors:
In: 0.0000 0.0000 0.0000  4 P 3.00, 4 Ag 3.22, 4 In 3.24
Ag: 0.3033 0.3033 0.0000  4 P 2.77
P: 0.6687 0.6687 0.0000  4 Ag 2.77, 4 In 3.00

Computed properties:
Energy relative to the lowest polymorph listed for this composition ... 3.41 kcal/mol of atoms
Magnetization ... 0.00 μB per formula unit
DFT formation energy ... 0.3322 eV/atom



Below is a relaxed LiCuSbPt crystal, with properties calculated at the GGA-PBE level.

Cell lengths 4.4858, 4.4858, 4.4858 Å; angles 60.00, 60.00, 60.00 degrees
Closest atoms and distances in Å follow each position.
Sites, in units of the cell vectors:
Li: 0.0000 0.0000 0.0000  4 Sb 2.75, 4 Cu 2.75
Cu: 0.2500 0.2500 0.2500  4 Pt 2.75, 4 Li 2.75
Sb: 0.7500 0.7500 0.7500  4 Pt 2.75, 4 Li 2.75
Pt: 0.5000 0.5000 0.5000  4 Sb 2.75, 4 Cu 2.75

Computed properties:
Magnetization ... 0.00 μB per formula unit
Energy relative to the elements, uncorrected ... -373.7 meV/atom



Below is a relaxed NbSb2PdPb crystal, with properties calculated at the GGA-PBE level.

Cell lengths 5.1997, 5.1997, 5.1623 Å; angles 90.00, 90.00, 90.00 degrees
Closest atoms and distances in Å follow each position.
Sites, in units of the cell vectors:
Nb: 0.0000 0.0000 0.0000  2 Pd 2.58
Sb: 0.0000 0.5000 0.5000  2 Pd 2.60
Sb: 0.5000 0.0000 0.5000  2 Pd 2.60
Pd: 0.0000 0.0000 0.5000  2 Nb 2.58, 4 Sb 2.60
Pb: 0.5000 0.5000 0.0000  8 Sb 3.66, 4 Nb 3.68

Computed properties:
Magnetization ... 2.17 μB per formula unit
Energy relative to the elements, uncorrected ... 638.0 meV/atom



Below is a relaxed GeSCl2O crystal, with properties calculated at the GGA-PBE level.

Cell lengths 4.5518, 4.5518, 4.2644 Å; angles 90.00, 90.00, 90.00 degrees
Closest atoms and distances in Å follow each position.
Sites, in units of the cell vectors:
Ge: 0.0000 0.0000 0.0000  8 Cl 3.12, 4 S 3.22
S: 0.5000 0.5000 0.0000  2 O 2.13
Cl: 0.0000 0.5000 0.5000  2 O 2.28
Cl: 0.5000 0.0000 0.5000  2 O 2.28
O: 0.5000 0.5000 0.5000  2 S 2.13, 4 Cl 2.28

Computed properties:
Energy relative to the lowest polymorph listed for this composition ... 0.00 kcal/mol of atoms
Magnetization ... 0.00 μB per formula unit
Energy relative to the elements, uncorrected ... 476.5 meV/atom



Below is a relaxed PmInPt2 crystal, with properties calculated at the GGA-PBE level.

Cell lengths 3.5286, 3.5286, 6.6486 Å; angles 90.00, 90.00, 90.00 degrees
Closest atoms and distances in Å follow each position.
Sites, in units of the cell vectors:
Pm: 0.0000 0.0000 0.0000  8 Pt 3.10, 2 In 3.32
In: 0.0000 0.0000 0.5000  8 Pt 2.91
Pt: 0.5000 0.5000 0.2757  4 In 2.91, 1 Pt 2.98, 4 Pm 3.10
Pt: 0.5000 0.5000 0.7243  4 In 2.91, 1 Pt 2.98, 4 Pm 3.10

Computed properties:
Magnetization ... 0.00 μB per formula unit
DFT formation energy ... -0.7747 eV/atom



Below is a relaxed PrTm3Hg2 crystal, with properties calculated at the GGA-PBE level.

Cell lengths 8.4509, 8.4509, 8.8349 Å; angles 113.96, 113.96, 36.69 degrees
Closest atoms and distances in Å follow each position.
Sites, in units of the cell vectors:
Pr: 0.1322 0.1322 0.1863  5 Hg 3.29-3.46, 3 Tm 3.51-3.57
Pr: 0.8678 0.8678 0.8137  5 Hg 3.29-3.46, 3 Tm 3.51-3.57
Tm: 0.0648 0.0648 0.7236  3 Hg 3.13-3.20, 2 Tm 3.48
Tm: 0.3058 0.3058 0.0032  2 Hg 2.93-3.13, 2 Tm 3.19
Tm: 0.3821 0.3821 0.4734  4 Hg 2.89-3.23
Tm: 0.6179 0.6179 0.5266  4 Hg 2.89-3.23
Tm: 0.6942 0.6942 0.9968  2 Hg 2.93-3.13, 2 Tm 3.19
Tm: 0.9352 0.9352 0.2764  3 Hg 3.13-3.20, 2 Tm 3.48
Hg: 0.2253 0.2253 0.6117  5 Tm 3.08-3.23, 1 Pr 3.40
Hg: 0.4925 0.4925 0.8312  1 Hg 2.89, 4 Tm 2.89-3.20
Hg: 0.5075 0.5075 0.1688  1 Hg 2.89, 4 Tm 2.89-3.20
Hg: 0.7747 0.7747 0.3883  5 Tm 3.08-3.23, 1 Pr 3.40

Computed properties:
Energy relative to the lowest polymorph listed for this composition ... 2.05 kcal/mol of atoms
Magnetization ... 0.16 μB per formula unit
DFT formation energy ... -0.2522 eV/atom